Material: YP2F
Method: DFT, PBE
State: relaxed

Unit cell a=3.504 b=3.504 c=10.963 alpha=80.80 beta=80.80 gamma=90.00
Positions (direct):
Y 0.000 0.000 0.000
Y 0.750 0.250 0.500
P 0.875 0.832 0.750
P 0.168 0.625 0.250
P 0.582 0.125 0.250
P 0.375 0.418 0.750
F 0.250 0.750 0.500
F 0.500 0.500 0.000

Results
DOS(E_F)	0.6	states/eV/cell
formation energy (no corrections)	-1.4047	eV/atom
volume	16.4	Å³ per atom



Material: Gd3Ag5H12
Method: DFT, PBE
State: relaxed

Unit cell a=10.653 b=10.653 c=10.653 alpha=109.47 beta=109.47 gamma=109.47
Positions (direct):
Gd 0.875 0.125 0.250
Gd 0.125 0.875 0.750
Gd 0.125 0.250 0.875
Gd 0.750 0.875 0.625
Gd 0.375 0.625 0.250
Gd 0.250 0.625 0.875
Gd 0.375 0.750 0.625
Gd 0.750 0.375 0.125
Gd 0.625 0.375 0.750
Gd 0.250 0.125 0.375
Gd 0.875 0.750 0.125
Gd 0.625 0.250 0.375
Ag 0.375 0.250 0.125
Ag 0.250 0.875 0.125
Ag 0.500 0.000 0.000
Ag 0.625 0.875 0.250
Ag 0.875 0.625 0.750
Ag 0.000 0.000 0.500
Ag 0.875 0.250 0.625
Ag 0.000 0.500 0.000
Ag 0.000 0.500 0.500
Ag 0.375 0.125 0.750
Ag 0.500 0.500 0.000
Ag 0.125 0.750 0.375
Ag 0.125 0.375 0.250
Ag 0.625 0.750 0.875
Ag 0.500 0.000 0.500
Ag 0.750 0.625 0.375
Ag 0.000 0.000 0.000
Ag 0.750 0.125 0.875
Ag 0.500 0.500 0.500
Ag 0.250 0.375 0.625
H 0.592 0.634 0.415
H 0.719 0.134 0.042
H 0.592 0.958 0.677
H 0.134 0.719 0.542
H 0.781 0.458 0.366
H 0.219 0.677 0.085
H 0.866 0.585 0.908
H 0.634 0.042 0.219
H 0.542 0.323 0.908
H 0.281 0.866 0.958
H 0.092 0.177 0.458
H 0.542 0.219 0.134
H 0.085 0.177 0.219
H 0.042 0.408 0.823
H 0.366 0.958 0.781
H 0.719 0.585 0.177
H 0.281 0.415 0.823
H 0.408 0.042 0.323
H 0.177 0.085 0.719
H 0.177 0.092 0.958
H 0.823 0.908 0.042
H 0.677 0.458 0.592
H 0.908 0.823 0.542
H 0.866 0.281 0.458
H 0.458 0.677 0.092
H 0.415 0.134 0.592
H 0.323 0.542 0.408
H 0.458 0.781 0.866
H 0.823 0.915 0.281
H 0.366 0.408 0.085
H 0.908 0.085 0.866
H 0.408 0.366 0.585
H 0.634 0.592 0.915
H 0.085 0.908 0.366
H 0.134 0.415 0.092
H 0.958 0.592 0.177
H 0.415 0.281 0.323
H 0.915 0.823 0.781
H 0.915 0.092 0.634
H 0.781 0.323 0.915
H 0.677 0.219 0.585
H 0.042 0.634 0.719
H 0.585 0.719 0.677
H 0.958 0.366 0.281
H 0.092 0.915 0.134
H 0.219 0.542 0.634
H 0.585 0.866 0.408
H 0.323 0.781 0.415

Results
DOS(E_F)	18.4	states/eV/cell
calculated total energy	-4.99	eV/atom
volume	11.6	Å³ per atom



Material: Ac2Nd2Ir3
Method: DFT, PBE
State: relaxed

Unit cell a=7.875 b=7.875 c=7.875 alpha=109.47 beta=109.47 gamma=109.47
Positions (direct):
Ir 0.616 0.750 0.866
Ir 0.134 0.384 0.250
Ir 0.884 0.250 0.634
Ir 0.366 0.116 0.750
Ir 0.250 0.866 0.116
Ir 0.750 0.634 0.384
Ac 0.500 0.375 0.500
Ac 0.625 0.125 0.125
Ac 0.000 0.000 0.375
Ac 0.875 0.500 0.000
Nd 0.122 0.622 0.622
Nd 0.000 0.000 0.878
Nd 0.378 0.500 0.000
Nd 0.500 0.878 0.500

Results
DOS(E_F)	5.3	states/eV/cell
E_form	-0.578	eV/atom
volume	26.9	Å³ per atom



Material: Y3BiRu
Method: DFT, PBE
State: relaxed

Unit cell a=5.332 b=5.332 c=5.332 alpha=90.00 beta=90.00 gamma=90.00
Positions (direct):
Ru 0.000 0.000 0.000
Y 0.500 0.000 0.000
Y 0.000 0.000 0.500
Y 0.000 0.500 0.000
Bi 0.500 0.500 0.500

Results
DOS(E_F)	5.9	states/eV/cell
E_form	-0.323	eV/atom
volume	30.3	Å³ per atom



Material: Ti3VCo3
Method: DFT, PBE
State: relaxed

Unit cell a=5.771 b=5.771 c=6.001 alpha=89.98 beta=89.98 gamma=96.26
Positions (direct):
Co 0.746 0.254 0.500
Co 0.773 0.227 0.000
Co 0.261 0.261 0.500
Co 0.254 0.746 0.500
Co 0.227 0.773 0.000
Co 0.739 0.739 0.500
V 0.678 0.678 0.001
V 0.322 0.322 0.999
Ti 0.000 0.500 0.253
Ti 0.000 0.000 0.744
Ti 0.500 0.000 0.253
Ti 0.000 0.500 0.747
Ti 0.000 0.000 0.256
Ti 0.500 0.000 0.747

Results
DOS(E_F)	8.9	states/eV/cell
E_form	-0.040	eV/atom
volume	14.2	Å³ per atom



Material: ZrAs3S
Method: DFT, PBE
State: relaxed

Unit cell a=5.170 b=5.170 c=5.170 alpha=90.00 beta=90.00 gamma=90.00
Positions (direct):
As 0.000 0.000 0.500
As 0.000 0.500 0.000
As 0.500 0.000 0.000
S 0.500 0.500 0.500
Zr 0.000 0.000 0.000

Results
DOS(E_F)	3.7	states/eV/cell
formation energy (no corrections)	0.5796	eV/atom
volume	27.6	Å³ per atom



Material: ZrZn3Se
Method: DFT, PBE
State: relaxed

Unit cell a=4.790 b=4.790 c=4.790 alpha=90.00 beta=90.00 gamma=90.00
Positions (direct):
Zr 0.500 0.500 0.500
Zn 0.000 0.500 0.000
Zn 0.500 0.000 0.000
Zn 0.000 0.000 0.500
Se 0.000 0.000 0.000

Results
DOS(E_F)	4.9	states/eV/cell
formation energy (no corrections)	0.6745	eV/atom
volume	22.0	Å³ per atom



Material: Be3Ag
Method: DFT, PBE
State: relaxed

Unit cell a=4.991 b=4.991 c=7.873 alpha=90.00 beta=90.00 gamma=120.00
Positions (direct):
Ag 0.667 0.333 0.750
Ag 0.000 0.000 0.000
Ag 0.333 0.667 0.250
Ag 0.000 0.000 0.500
Be 0.500 0.000 0.500
Be 0.500 0.500 0.500
Be 0.500 0.500 0.000
Be 0.634 0.817 0.750
Be 0.366 0.183 0.250
Be 0.817 0.634 0.250
Be 0.183 0.817 0.750
Be 0.000 0.500 0.000
Be 0.000 0.500 0.500
Be 0.500 0.000 0.000
Be 0.183 0.366 0.750
Be 0.817 0.183 0.250

Results
DOS(E_F)	6.6	states/eV/cell
E_form	0.177	eV/atom
volume	10.6	Å³ per atom



Material: Zr12AgSn6
Method: DFT, PBE
State: relaxed

Unit cell a=8.353 b=8.353 c=8.353 alpha=110.74 beta=110.74 gamma=110.74
Positions (direct):
Zr 0.822 0.269 0.901
Zr 0.178 0.731 0.099
Zr 0.797 0.677 0.533
Zr 0.467 0.203 0.323
Zr 0.203 0.323 0.467
Zr 0.731 0.099 0.178
Zr 0.677 0.533 0.797
Zr 0.099 0.178 0.731
Zr 0.323 0.467 0.203
Zr 0.269 0.901 0.822
Zr 0.533 0.797 0.677
Zr 0.901 0.822 0.269
Sn 0.634 0.929 0.419
Sn 0.366 0.071 0.581
Sn 0.071 0.581 0.366
Sn 0.929 0.419 0.634
Sn 0.419 0.634 0.929
Sn 0.581 0.366 0.071
Ag 0.000 0.000 0.000

Results
DOS(E_F)	18.7	states/eV/cell
E_form	-0.324	eV/atom
volume	22.4	Å³ per atom



Material: CePu4Ga4
Method: DFT, PBE
State: relaxed

Unit cell a=5.617 b=5.617 c=10.783 alpha=90.00 beta=90.00 gamma=90.00
Positions (direct):
Pu 0.214 0.500 0.957
Pu 0.286 0.000 0.543
Pu 0.714 0.000 0.543
Pu 0.500 0.214 0.043
Pu 0.000 0.714 0.457
Pu 0.500 0.786 0.043
Pu 0.000 0.286 0.457
Pu 0.786 0.500 0.957
Ga 0.500 0.237 0.766
Ga 0.237 0.500 0.234
Ga 0.763 0.500 0.234
Ga 0.000 0.737 0.734
Ga 0.000 0.263 0.734
Ga 0.737 0.000 0.266
Ga 0.500 0.763 0.766
Ga 0.263 0.000 0.266
Ce 0.500 0.500 0.500
Ce 0.000 0.000 0.000

Results
DOS(E_F)	35.0	states/eV/cell
E_form	-0.029	eV/atom
volume	18.9	Å³ per atom



Material: ScFeRu
Method: DFT, PBE
State: relaxed

Unit cell a=4.244 b=4.244 c=4.244 alpha=60.00 beta=60.00 gamma=60.00
Positions (direct):
Fe 0.000 0.000 0.000
Sc 0.750 0.750 0.750
Ru 0.500 0.500 0.500

Results
DOS(E_F)	3.5	states/eV/cell
E_form	0.764	eV/atom
volume	18.0	Å³ per atom



Material: AcPmPaO6
Method: DFT, PBE
State: relaxed

Unit cell a=5.333 b=5.333 c=11.166 alpha=90.00 beta=90.00 gamma=90.00
Positions (direct):
O 0.210 0.790 0.174
O 0.188 0.812 0.814
O 0.290 0.290 0.674
O 0.824 0.176 0.511
O 0.312 0.312 0.314
O 0.790 0.210 0.174
O 0.710 0.710 0.674
O 0.176 0.824 0.511
O 0.676 0.676 0.011
O 0.688 0.688 0.314
O 0.812 0.188 0.814
O 0.324 0.324 0.011
Pa 0.500 0.500 0.168
Pa 0.000 0.000 0.668
Pm 0.000 0.000 0.332
Pm 0.500 0.500 0.832
Ac 0.500 0.500 0.502
Ac 0.000 0.000 0.002

Results
DOS(E_F)	18.0	states/eV/cell
formation energy (no corrections)	-3.2129	eV/atom
volume	17.6	Å³ per atom



Material: HoErHgOs
Method: DFT, PBE
State: relaxed

Unit cell a=4.982 b=4.982 c=4.982 alpha=60.00 beta=60.00 gamma=60.00
Positions (direct):
Hg 0.000 0.000 0.000
Ho 0.750 0.750 0.750
Os 0.500 0.500 0.500
Er 0.250 0.250 0.250

Results
DOS(E_F)	3.6	states/eV/cell
E_form	-0.286	eV/atom
volume	21.9	Å³ per atom



Material: Rb2InI
Method: DFT, PBE
State: relaxed

Unit cell a=10.123 b=10.123 c=8.282 alpha=52.33 beta=52.33 gamma=90.00
Positions (direct):
I 0.750 0.250 0.500
I 0.000 0.000 0.000
In 0.250 0.750 0.500
In 0.500 0.500 0.000
Rb 0.102 0.625 0.250
Rb 0.375 0.352 0.750
Rb 0.648 0.125 0.250
Rb 0.875 0.898 0.750

Results
DOS(E_F)	1.1	states/eV/cell
formation energy (no corrections)	-0.4270	eV/atom
volume	53.4	Å³ per atom



Material: PrNdCdAg
Method: DFT, PBE
State: relaxed

Unit cell a=5.405 b=5.405 c=5.405 alpha=60.00 beta=60.00 gamma=60.00
Positions (direct):
Nd 0.500 0.500 0.500
Pr 0.000 0.000 0.000
Cd 0.750 0.750 0.750
Ag 0.250 0.250 0.250

Results
DOS(E_F)	4.2	states/eV/cell
E_form	-0.274	eV/atom
volume	27.9	Å³ per atom



Material: Pm2InCuSe5
Method: DFT, PBE
State: relaxed

Unit cell a=4.050 b=8.934 c=12.139 alpha=90.00 beta=90.00 gamma=103.10
Positions (direct):
Pm 0.886 0.773 0.184
Pm 0.881 0.761 0.802
Pm 0.114 0.227 0.684
Pm 0.119 0.239 0.302
Se 0.494 0.988 0.289
Se 0.042 0.085 0.068
Se 0.289 0.579 0.661
Se 0.648 0.296 0.497
Se 0.298 0.595 0.338
Se 0.352 0.704 0.997
Se 0.711 0.421 0.161
Se 0.506 0.012 0.789
Se 0.958 0.915 0.568
Se 0.702 0.405 0.838
In 0.810 0.621 0.498
In 0.190 0.379 0.998
Cu 0.503 0.006 0.486
Cu 0.497 0.994 0.986

Results
DOS(E_F)	1.5	states/eV/cell
formation energy (no corrections)	-1.1857	eV/atom
volume	23.8	Å³ per atom



Material: YZnB
Method: DFT, PBE
State: relaxed

Unit cell a=4.498 b=4.498 c=5.546 alpha=90.00 beta=90.00 gamma=120.00
Positions (direct):
Y 0.333 0.667 0.750
Y 0.667 0.333 0.250
B 0.667 0.333 0.750
B 0.333 0.667 0.250
Zn 0.000 0.000 0.500
Zn 0.000 0.000 0.000

Results
DOS(E_F)	1.0	states/eV/cell
E_form	0.045	eV/atom
volume	16.2	Å³ per atom



Material: LaPm2Cd
Method: DFT, PBE
State: relaxed

Unit cell a=3.771 b=3.771 c=8.933 alpha=90.00 beta=90.00 gamma=90.00
Positions (direct):
La 0.500 0.500 0.500
Pm 0.000 0.000 0.220
Pm 0.000 0.000 0.780
Cd 0.500 0.500 0.000

Results
DOS(E_F)	5.2	states/eV/cell
E_form	-0.153	eV/atom
volume	31.8	Å³ per atom



Material: Tl2ReCl2
Method: DFT, PBE
State: relaxed

Unit cell a=5.992 b=5.992 c=5.992 alpha=114.79 beta=114.79 gamma=99.30
Positions (direct):
Re 0.000 0.000 0.000
Cl 0.702 0.702 0.000
Cl 0.298 0.298 0.000
Tl 0.750 0.250 0.500
Tl 0.250 0.750 0.500

Results
DOS(E_F)	2.0	states/eV/cell
formation energy (no corrections)	0.3409	eV/atom
volume	32.4	Å³ per atom



Material: RbScOF2
Method: DFT, PBE
State: relaxed

Unit cell a=4.738 b=4.738 c=4.674 alpha=90.00 beta=90.00 gamma=90.00
Positions (direct):
O 0.000 0.000 0.500
Sc 0.500 0.500 0.500
F 0.000 0.500 0.000
F 0.500 0.000 0.000
Rb 0.000 0.000 0.000

Results
DOS(E_F)	15.2	states/eV/cell
formation energy (no corrections)	-0.9199	eV/atom
volume	21.0	Å³ per atom